Compound: PuMoF6
Source: the Alexandria database
Functional: PBE+U
Structure: relaxed

Geometry as POSCAR:
```
PuMoF6
1.0
-2.9163 -5.5107 -3.3016
2.6992 -3.5365 -0.6026
0.4532 -0.4341 4.4454
Pu Mo F
1 1 6
Direct
0.5000 0.0208 0.0208
0.0000 0.0207 0.0207
0.9217 0.7589 0.2826
0.0783 0.2826 0.7589
0.3045 0.0264 0.4159
0.3045 0.6256 0.0151
0.6955 0.0151 0.6256
0.6955 0.4159 0.0264
```

Calculated values
The value obtained for the total DFT energy (no corrections) is -7.07 eV per atom. The density of states at the Fermi level is 6.403 states/eV per cell.